## Li5NiP3O11 (PBE with a Hubbard U)

Data for crystalline Li5NiP3O11 at its relaxed geometry.

Total DFT energy (no corrections), eV per atom: -6.351

a = 5.282 Å, b = 8.501 Å, c = 9.597 Å
α = 84.52°, β = 90.02°, γ = 86.28°
Fractional positions:
Li  0.812  0.395  0.841
O  0.322  0.554  0.361
O  0.796  0.605  0.128
Li  0.702  0.382  0.172
Li  0.701  0.630  0.329
Li  0.515  0.020  0.848
O  0.836  0.410  0.384
O  0.815  0.940  0.623
O  0.080  0.743  0.947
O  0.204  0.395  0.872
O  0.981  0.222  0.582
O  0.185  0.060  0.377
O  0.867  0.109  0.819
Li  0.299  0.370  0.671
Li  0.188  0.605  0.159
P  0.737  0.337  0.523
Li  0.221  0.316  0.350
O  0.332  0.125  0.996
O  0.164  0.590  0.616
O  0.733  0.997  0.306
P  0.263  0.663  0.477
Ni  0.000  0.000  0.000
O  0.133  0.891  0.181
P  0.800  0.708  0.985
O  0.019  0.778  0.418
O  0.672  0.628  0.867
O  0.920  0.257  0.053
O  0.267  0.003  0.694
Li  0.298  0.618  0.828
P  0.985  0.056  0.683
P  0.015  0.944  0.317
Ni  0.500  0.000  0.500
O  0.507  0.238  0.507
O  0.493  0.762  0.493
O  0.668  0.875  0.004
O  0.678  0.446  0.639
P  0.200  0.292  0.015
Li  0.485  0.980  0.152
O  0.328  0.372  0.133
Li  0.779  0.684  0.650